Compound: Ac5Se4S
Source: Alexandria
Functional: PBE-GGA
Structure: relaxed

Unit cell a=4.434 b=4.434 c=18.284 alpha=83.04 beta=83.04 gamma=60.00
Positions (direct):
Ac  0.401  0.401  0.797
Ac  0.000  0.000  0.000
Ac  0.599  0.599  0.203
Ac  0.803  0.803  0.592
Ac  0.197  0.197  0.408
Se  0.898  0.898  0.305
Se  0.299  0.299  0.102
Se  0.701  0.701  0.898
Se  0.102  0.102  0.695
S  0.500  0.500  0.500

ΔE_f (raw) in eV/f.u.: -18.94
SG: R-3m (166)
Spin magnetization in μB per cell: 0.0